DFT (PBEsol) results for Te3Os after structural relaxation.

Unit cell a=7.3834 b=3.1611 c=8.4160 alpha=90.00 beta=93.49 gamma=90.00
Last column: nearest neighbours and their distance in Å.
Sites, in units of the cell vectors:
Te: 0.0000 0.0000 0.0000  4 Te 3.16-3.20
Te: 0.2168 0.0000 0.6827  3 Os 2.67
Te: 0.2832 0.5000 0.3173  3 Os 2.67
Te: 0.5000 0.5000 0.0000  4 Te 3.16-3.20
Te: 0.7168 0.5000 0.6827  3 Os 2.67
Te: 0.7832 0.0000 0.3173  3 Os 2.67
Os: 0.0000 0.5000 0.5000  6 Te 2.67
Os: 0.5000 0.0000 0.5000  6 Te 2.67

Computed properties:
DOS(E_F) (states/eV per cell): 4.58
Spin magnetization (Bohr magnetons per cell): 0.000
Total DFT energy (no corrections) (eV/atom): -5.501
Formation energy from raw total energies (eV per formula unit): 0.792

---

DFT (PBEsol) results for Tm5Mg after structural relaxation.

Unit cell a=6.3977 b=6.3977 c=6.3977 alpha=55.28 beta=55.28 gamma=55.28
Last column: nearest neighbours and their distance in Å.
Sites, in units of the cell vectors:
Tm: 0.0000 0.6631 0.3369  10 Tm 3.33-3.46, 2 Mg 3.34
Tm: 0.1677 0.1677 0.1677  9 Tm 3.33-3.43, 3 Mg 3.43
Tm: 0.3369 0.0000 0.6631  10 Tm 3.33-3.46, 2 Mg 3.34
Tm: 0.6631 0.3369 0.0000  10 Tm 3.33-3.46, 2 Mg 3.34
Tm: 0.8323 0.8323 0.8323  9 Tm 3.33-3.43, 3 Mg 3.43
Mg: 0.5000 0.5000 0.5000  12 Tm 3.34-3.43

Computed properties:
DOS(E_F) (states/eV per cell): 8.05
Spin magnetization (Bohr magnetons per cell): 0.000
Excess energy over the best structure of this formula in the dataset (meV per atom): 0
DFT formation energy (eV per atom): 0.018
Total DFT energy (no corrections) (eV/atom): -4.351

---

DFT (PBEsol) results for Li2HgPt after structural relaxation.

Unit cell a=2.8808 b=3.7061 c=5.5668 alpha=90.00 beta=90.00 gamma=90.00
Last column: nearest neighbours and their distance in Å.
Sites, in units of the cell vectors:
Li: 0.0000 0.0000 0.2205  1 Li 2.45, 4 Pt 2.65
Li: 0.0000 0.0000 0.7795  1 Li 2.45, 4 Pt 2.65
Hg: 0.5000 0.5000 0.5000  2 Pt 2.78, 8 Li 2.82, 2 Hg 2.88
Pt: 0.5000 0.5000 0.0000  8 Li 2.65, 2 Hg 2.78, 2 Pt 2.88

Computed properties:
DOS(E_F) (states/eV per cell): 0.86
Spin magnetization (Bohr magnetons per cell): 0.000
DFT formation energy (eV per atom): -0.453
Total DFT energy (no corrections) (eV/atom): -3.319